No. 1
# PBE K2RbSn3O8, relaxed
# Formation energy (no corrections) = -1501 meV/atom
# D(E_F) = 17.6 states/eV per cell
# Uncorrected energy = -5.418 eV per atom
data_K2RbSn3O8
_chemical_formula_sum 'K6 Rb3 Sn9 O24'
_space_group_name_H-M_alt 'R 3 m'
_space_group_IT_number 160
_space_group_name_Hall 'R 3 -2"'
_cell_length_a 6.5382
_cell_length_b 6.5382
_cell_length_c 19.7157
_cell_angle_alpha 90.00
_cell_angle_beta 90.00
_cell_angle_gamma 120.00
loop_
_atom_site_label
_atom_site_type_symbol
_atom_site_fract_x
_atom_site_fract_y
_atom_site_fract_z
K1 K 0.0000 0.0000 0.0000
K2 K 0.0000 0.0000 0.3710
Rb1 Rb 0.0000 0.0000 0.7370
Sn1 Sn 0.0006 0.5003 0.8715
O1 O 0.0000 0.0000 0.1451
O2 O 0.0000 0.0000 0.5963
O3 O 0.0418 0.5209 0.1493
O4 O 0.1857 0.3715 0.9268



No. 2
# PBE KRb2SnO, relaxed
# Formation energy (no corrections) = 323 meV/atom
# D(E_F) = 6.2 states/eV per cell
# Uncorrected energy = -2.075 eV per atom
data_KRb2SnO
_chemical_formula_sum 'K1 Rb2 Sn1 O1'
_space_group_name_H-M_alt 'P 4/m m m'
_space_group_IT_number 123
_space_group_name_Hall '-P 4 2'
_cell_length_a 7.0316
_cell_length_b 7.0316
_cell_length_c 6.6880
_cell_angle_alpha 90.00
_cell_angle_beta 90.00
_cell_angle_gamma 90.00
loop_
_atom_site_label
_atom_site_type_symbol
_atom_site_fract_x
_atom_site_fract_y
_atom_site_fract_z
K1 K 0.0000 0.0000 0.0000
Rb1 Rb 0.0000 0.5000 0.5000
Sn1 Sn 0.0000 0.0000 0.5000
O1 O 0.5000 0.5000 0.0000



No. 3
# PBE KRbTaO4, relaxed
# Formation energy (no corrections) = -2124 meV/atom
# D(E_F) = 9.6 states/eV per cell
# Uncorrected energy = -6.946 eV per atom
data_KRbTaO4
_chemical_formula_sum 'K4 Rb4 Ta4 O16'
_space_group_name_H-M_alt 'C m c m'
_space_group_IT_number 63
_space_group_name_Hall '-C 2c 2'
_cell_length_a 5.7382
_cell_length_b 14.3402
_cell_length_c 5.7296
_cell_angle_alpha 90.00
_cell_angle_beta 90.00
_cell_angle_gamma 90.00
loop_
_atom_site_label
_atom_site_type_symbol
_atom_site_fract_x
_atom_site_fract_y
_atom_site_fract_z
K1 K 0.0000 0.0968 0.2500
Rb1 Rb 0.0000 0.4116 0.2500
Ta1 Ta 0.0000 0.2425 0.7500
O1 O 0.0000 0.1090 0.7500
O2 O 0.0000 0.3834 0.7500
O3 O 0.2500 0.2500 0.0000



No. 4
# PBE K2RbTaO4, relaxed
# Formation energy (no corrections) = -2009 meV/atom
# D(E_F) = 0.0 states/eV per cell
# Uncorrected energy = -6.365 eV per atom
data_K2RbTaO4
_chemical_formula_sum 'K8 Rb4 Ta4 O16'
_space_group_name_H-M_alt 'I m m a'
_space_group_IT_number 74
_space_group_name_Hall '-I 2b 2'
_cell_length_a 6.5830
_cell_length_b 7.2154
_cell_length_c 11.7661
_cell_angle_alpha 90.00
_cell_angle_beta 90.00
_cell_angle_gamma 90.00
loop_
_atom_site_label
_atom_site_type_symbol
_atom_site_fract_x
_atom_site_fract_y
_atom_site_fract_z
K1 K 0.0000 0.0000 0.0000
K2 K 0.2500 0.2500 0.2500
Rb1 Rb 0.0000 0.0000 0.5000
Ta1 Ta 0.2500 0.2500 0.7500
O1 O 0.0000 0.0599 0.7480
O2 O 0.2413 0.2500 0.9141